{
  "formula": "MgH2Cl2O",
  "functional": "GGA-PBEsol",
  "state": "optimized geometry",
  "cell": [[-1.715, 3.158, 0.460], [-7.374, -4.311, 2.103], [3.048, 0.076, 10.844]],
  "species": ["H", "Mg", "H", "H", "Cl", "Cl", "H", "Cl", "Cl", "H", "O", "Cl", "Mg", "Cl", "Mg", "Mg", "H", "O", "Cl", "O", "H", "H", "Cl", "O"],
  "fractional_positions": [[0.750, 0.186, 0.730], [0.250, 0.186, 0.016], [0.250, 0.954, 0.363], [0.250, 0.814, 0.270], [0.750, 0.539, 0.376], [0.750, 0.039, 0.124], [0.250, 0.454, 0.137], [0.250, 0.693, 0.102], [0.250, 0.961, 0.876], [0.750, 0.046, 0.637], [0.250, 0.342, 0.145], [0.250, 0.193, 0.398], [0.750, 0.814, 0.984], [0.250, 0.461, 0.624], [0.750, 0.314, 0.516], [0.250, 0.686, 0.484], [0.750, 0.546, 0.863], [0.750, 0.158, 0.645], [0.750, 0.307, 0.898], [0.250, 0.842, 0.355], [0.250, 0.314, 0.230], [0.750, 0.686, 0.770], [0.750, 0.807, 0.602], [0.750, 0.658, 0.855]],
  "final_energy_ev_per_atom": -4.4231,
  "dos_ef_per_ev_cell": 0.000,
  "spacegroup": "Pnma, No. 62"
}


{
  "formula": "MgH4Cl2O2",
  "functional": "GGA-PBEsol",
  "state": "optimized geometry",
  "cell": [[-2.044, 2.369, 1.867], [-4.182, -3.003, -2.222], [1.146, -3.493, 4.234]],
  "species": ["Cl", "Mg", "H", "H", "H", "Cl", "H", "O", "O"],
  "fractional_positions": [[0.416, 0.759, 0.759], [0.000, 0.000, 0.000], [0.160, 0.401, 0.779], [0.160, 0.779, 0.401], [0.840, 0.221, 0.599], [0.584, 0.241, 0.241], [0.840, 0.599, 0.221], [0.000, 0.240, 0.760], [0.000, 0.760, 0.240]],
  "final_energy_ev_per_atom": -4.6309,
  "dos_ef_per_ev_cell": 0.000,
  "spacegroup": "C2/m, No. 12"
}


{
  "formula": "MnH2Cl2",
  "functional": "GGA-PBEsol",
  "state": "optimized geometry",
  "cell": [[3.181, 0.109, 0.119], [-0.269, 4.715, 0.080], [-0.269, -0.312, 4.705]],
  "species": ["H", "Mn", "H", "Cl", "Cl"],
  "fractional_positions": [[0.000, 0.758, 0.242], [0.000, 0.000, 0.000], [0.000, 0.242, 0.758], [0.516, 0.242, 0.242], [0.484, 0.758, 0.758]],
  "final_energy_ev_per_atom": -4.1151,
  "dos_ef_per_ev_cell": 1.261,
  "spacegroup": "C2/m, No. 12"
}


{
  "formula": "MnHCl3",
  "functional": "GGA-PBEsol",
  "state": "optimized geometry",
  "cell": [[4.669, 0.000, 0.000], [0.000, 4.669, 0.000], [0.000, 0.000, 4.669]],
  "species": ["H", "Cl", "Cl", "Mn", "Cl"],
  "fractional_positions": [[0.500, 0.500, 0.500], [0.500, 0.000, 0.000], [0.000, 0.000, 0.500], [0.000, 0.000, 0.000], [0.000, 0.500, 0.000]],
  "final_energy_ev_per_atom": -3.9615,
  "dos_ef_per_ev_cell": 2.431,
  "spacegroup": "Pm-3m, No. 221"
}


{
  "formula": "MnH12N2Cl4O2",
  "functional": "GGA-PBEsol",
  "state": "optimized geometry",
  "cell": [[6.586, 0.011, 0.018], [-2.521, 6.085, -0.018], [-2.521, -2.722, 5.442]],
  "species": ["H", "Mn", "O", "H", "H", "Cl", "O", "Cl", "H", "N", "Cl", "H", "H", "N", "H", "H", "H", "Cl", "H", "H", "H"],
  "fractional_positions": [[0.664, 0.900, 0.413], [0.000, 0.000, 0.000], [0.000, 0.262, 0.262], [0.512, 0.100, 0.764], [0.336, 0.236, 0.749], [0.487, 0.258, 0.258], [0.000, 0.738, 0.738], [0.000, 0.742, 0.229], [0.664, 0.413, 0.900], [0.500, 0.750, 0.250], [0.000, 0.229, 0.742], [0.488, 0.251, 0.587], [0.846, 0.589, 0.589], [0.500, 0.250, 0.750], [0.154, 0.743, 0.743], [0.512, 0.764, 0.100], [0.336, 0.749, 0.236], [0.513, 0.771, 0.771], [0.488, 0.587, 0.251], [0.000, 0.257, 0.411], [0.000, 0.411, 0.257]],
  "final_energy_ev_per_atom": -4.8615,
  "dos_ef_per_ev_cell": 0.000,
  "spacegroup": "I-42m, No. 121"
}


{
  "formula": "MnH4Cl2O2",
  "functional": "GGA-PBEsol",
  "state": "optimized geometry",
  "cell": [[-2.192, 1.802, -2.315], [-3.920, -3.456, 2.125], [-0.071, 3.824, 4.148]],
  "species": ["Cl", "Mn", "O", "H", "O", "Cl", "H", "H", "H"],
  "fractional_positions": [[0.422, 0.759, 0.759], [0.000, 0.000, 0.000], [0.000, 0.246, 0.754], [0.160, 0.405, 0.774], [0.000, 0.754, 0.246], [0.578, 0.241, 0.241], [0.840, 0.595, 0.226], [0.840, 0.226, 0.595], [0.160, 0.774, 0.405]],
  "final_energy_ev_per_atom": -5.1906,
  "dos_ef_per_ev_cell": 0.000,
  "spacegroup": "C2/m, No. 12"
}


{
  "formula": "MoHCl3",
  "functional": "GGA-PBEsol",
  "state": "optimized geometry",
  "cell": [[4.710, 0.000, 0.000], [0.000, 4.710, 0.000], [0.000, 0.000, 4.710]],
  "species": ["Mo", "Cl", "Cl", "Cl", "H"],
  "fractional_positions": [[0.000, 0.000, 0.000], [0.000, 0.500, 0.000], [0.000, 0.000, 0.500], [0.500, 0.000, 0.000], [0.500, 0.500, 0.500]],
  "final_energy_ev_per_atom": -4.1739,
  "dos_ef_per_ev_cell": 3.954,
  "spacegroup": "Pm-3m, No. 221"
}


{
  "formula": "MoH3Cl",
  "functional": "GGA-PBEsol",
  "state": "optimized geometry",
  "cell": [[-0.033, 2.975, -1.688], [-3.415, 0.065, 0.180], [0.189, 1.687, 2.969]],
  "species": ["Mo", "Cl", "H", "H", "H"],
  "fractional_positions": [[0.500, 0.500, 0.500], [0.000, 0.000, 0.000], [0.000, 0.500, 0.000], [0.000, 0.000, 0.500], [0.500, 0.000, 0.000]],
  "final_energy_ev_per_atom": -3.1295,
  "dos_ef_per_ev_cell": 3.263,
  "spacegroup": "Pm-3m, No. 221"
}


{
  "formula": "MoH2Cl2",
  "functional": "GGA-PBEsol",
  "state": "optimized geometry",
  "cell": [[-0.727, -3.638, 2.032], [0.756, -0.053, -4.162], [3.167, -2.751, 0.546]],
  "species": ["Cl", "H", "H", "Cl", "Mo"],
  "fractional_positions": [[0.500, 0.750, 0.750], [0.000, 0.565, 0.435], [0.000, 0.435, 0.565], [0.500, 0.250, 0.250], [0.000, 0.000, 0.000]],
  "final_energy_ev_per_atom": -4.3265,
  "dos_ef_per_ev_cell": 0.901,
  "spacegroup": "I4/mmm, No. 139"
}


{
  "formula": "MoH2Cl2O3",
  "functional": "GGA-PBEsol",
  "state": "optimized geometry",
  "cell": [[-0.940, -1.827, -3.261], [6.758, -0.060, -1.914], [1.105, -7.977, 4.150]],
  "species": ["O", "Mo", "Mo", "O", "O", "Cl", "H", "O", "H", "O", "Cl", "H", "Cl", "O", "H", "Cl"],
  "fractional_positions": [[0.220, 0.984, 0.000], [0.721, 0.807, 0.500], [0.279, 0.307, 0.000], [0.780, 0.484, 0.500], [0.272, 0.777, 0.500], [0.797, 0.747, 0.250], [0.124, 0.919, 0.912], [0.235, 0.543, 0.000], [0.876, 0.419, 0.588], [0.765, 0.043, 0.500], [0.203, 0.247, 0.250], [0.876, 0.419, 0.412], [0.797, 0.747, 0.750], [0.728, 0.277, 0.000], [0.124, 0.919, 0.088], [0.203, 0.247, 0.750]],
  "final_energy_ev_per_atom": -6.0694,
  "dos_ef_per_ev_cell": 0.000,
  "spacegroup": "Pmn2_1, No. 31"
}


{
  "formula": "MoHSCl2",
  "functional": "GGA-PBEsol",
  "state": "optimized geometry",
  "cell": [[-1.627, -1.224, -2.467], [3.794, -2.523, -1.250], [-1.467, -3.562, 2.736]],
  "species": ["Mo", "Cl", "S", "H", "Cl"],
  "fractional_positions": [[0.500, 0.500, 0.500], [0.000, 0.000, 0.500], [0.500, 0.000, 0.000], [0.000, 0.000, 0.000], [0.000, 0.500, 0.000]],
  "final_energy_ev_per_atom": -3.9903,
  "dos_ef_per_ev_cell": 3.185,
  "spacegroup": "P4/mmm, No. 123"
}


{
  "formula": "H9PtN2ClO2",
  "functional": "GGA-PBEsol",
  "state": "optimized geometry",
  "cell": [[-0.835, -3.961, 0.672], [0.583, -1.381, -7.414], [17.524, -3.190, 2.973]],
  "species": ["O", "H", "H", "N", "H", "H", "H", "H", "O", "H", "H", "H", "Pt", "N", "Cl", "H", "H", "N", "H", "H", "N", "H", "Cl", "O", "H", "H", "N", "O", "H", "N", "H", "Cl", "O", "H", "Pt", "H", "H", "H", "N", "H", "H", "H", "O", "H", "Cl", "H", "H", "H", "H", "Pt", "N", "H", "H", "H", "H", "H", "O", "H", "O", "Pt"],
  "fractional_positions": [[0.586, 0.157, 0.722], [0.977, 0.403, 0.635], [0.271, 0.262, 0.761], [0.264, 0.566, 0.376], [0.244, 0.018, 0.262], [0.477, 0.097, 0.865], [0.031, 0.988, 0.414], [0.356, 0.480, 0.334], [0.879, 0.868, 0.752], [0.523, 0.903, 0.135], [0.355, 0.430, 0.160], [0.305, 0.888, 0.574], [0.968, 0.293, 0.883], [0.194, 0.983, 0.609], [0.822, 0.240, 0.002], [0.195, 0.388, 0.074], [0.144, 0.980, 0.834], [0.306, 0.483, 0.109], [0.729, 0.738, 0.239], [0.756, 0.982, 0.738], [0.736, 0.434, 0.624], [0.695, 0.112, 0.426], [0.178, 0.760, 0.998], [0.914, 0.657, 0.222], [0.855, 0.070, 0.340], [0.706, 0.776, 0.754], [0.806, 0.017, 0.391], [0.621, 0.368, 0.252], [0.644, 0.520, 0.666], [0.694, 0.517, 0.891], [0.531, 0.512, 0.086], [0.678, 0.740, 0.502], [0.086, 0.343, 0.778], [0.145, 0.930, 0.660], [0.468, 0.207, 0.617], [0.771, 0.238, 0.739], [0.730, 0.497, 0.575], [0.294, 0.224, 0.246], [0.764, 0.934, 0.124], [0.230, 0.003, 0.925], [0.744, 0.482, 0.238], [0.794, 0.276, 0.254], [0.379, 0.632, 0.748], [0.770, 0.997, 0.075], [0.322, 0.260, 0.498], [0.969, 0.012, 0.586], [0.469, 0.488, 0.914], [0.645, 0.570, 0.840], [0.856, 0.020, 0.166], [0.532, 0.793, 0.383], [0.236, 0.066, 0.876], [0.805, 0.612, 0.926], [0.229, 0.762, 0.261], [0.206, 0.724, 0.746], [0.256, 0.518, 0.762], [0.023, 0.597, 0.365], [0.121, 0.132, 0.248], [0.270, 0.503, 0.425], [0.414, 0.843, 0.278], [0.032, 0.707, 0.117]],
  "final_energy_ev_per_atom": -5.0817,
  "dos_ef_per_ev_cell": 0.000,
  "spacegroup": "P2_1/c, No. 14"
}


{
  "formula": "H12RuSN4Cl2O2",
  "functional": "GGA-PBEsol",
  "state": "optimized geometry",
  "cell": [[7.156, 0.000, 0.000], [0.000, 9.102, 0.000], [0.000, 0.000, 14.094]],
  "species": ["H", "H", "H", "Cl", "Cl", "O", "Cl", "H", "N", "H", "H", "H", "H", "H", "N", "Ru", "S", "H", "H", "H", "Ru", "O", "N", "N", "H", "N", "H", "O", "H", "N", "H", "H", "H", "Cl", "H", "H", "S", "N", "H", "O", "H", "H", "N", "H", "Cl", "H", "H", "H", "N", "H", "Cl", "H", "H", "H", "H", "H", "Ru", "H", "S", "O", "H", "H", "H", "H", "H", "Ru", "N", "H", "N", "Cl", "N", "N", "Cl", "N", "H", "H", "H", "H", "H", "S", "N", "O", "H", "H", "O", "H", "O", "N"],
  "fractional_positions": [[0.518, 0.296, 0.540], [0.407, 0.073, 0.768], [0.982, 0.296, 0.540], [0.750, 0.493, 0.504], [0.250, 0.993, 0.996], [0.250, 0.938, 0.368], [0.250, 0.941, 0.650], [0.018, 0.704, 0.460], [0.960, 0.628, 0.673], [0.482, 0.796, 0.960], [0.937, 0.349, 0.973], [0.962, 0.054, 0.865], [0.447, 0.794, 0.197], [0.482, 0.704, 0.460], [0.456, 0.294, 0.008], [0.750, 0.779, 0.087], [0.750, 0.911, 0.668], [0.962, 0.446, 0.365], [0.538, 0.054, 0.865], [0.093, 0.427, 0.268], [0.250, 0.279, 0.413], [0.250, 0.562, 0.868], [0.544, 0.706, 0.992], [0.540, 0.628, 0.673], [0.592, 0.863, 0.439], [0.956, 0.794, 0.492], [0.447, 0.706, 0.697], [0.750, 0.438, 0.132], [0.053, 0.706, 0.697], [0.456, 0.206, 0.508], [0.462, 0.946, 0.135], [0.538, 0.446, 0.365], [0.518, 0.204, 0.040], [0.250, 0.507, 0.496], [0.593, 0.573, 0.732], [0.592, 0.637, 0.939], [0.250, 0.411, 0.832], [0.040, 0.372, 0.327], [0.907, 0.927, 0.232], [0.250, 0.402, 0.728], [0.038, 0.946, 0.135], [0.093, 0.073, 0.768], [0.044, 0.294, 0.008], [0.947, 0.206, 0.803], [0.250, 0.559, 0.150], [0.408, 0.137, 0.561], [0.038, 0.554, 0.635], [0.018, 0.796, 0.960], [0.044, 0.206, 0.508], [0.982, 0.204, 0.040], [0.750, 0.059, 0.350], [0.563, 0.349, 0.973], [0.462, 0.554, 0.635], [0.907, 0.573, 0.732], [0.063, 0.651, 0.027], [0.947, 0.294, 0.303], [0.250, 0.221, 0.913], [0.053, 0.794, 0.197], [0.750, 0.589, 0.168], [0.750, 0.062, 0.632], [0.437, 0.651, 0.027], [0.092, 0.363, 0.061], [0.408, 0.363, 0.061], [0.437, 0.849, 0.527], [0.563, 0.151, 0.473], [0.750, 0.721, 0.587], [0.040, 0.128, 0.827], [0.593, 0.927, 0.232], [0.460, 0.128, 0.827], [0.750, 0.007, 0.004], [0.544, 0.794, 0.492], [0.460, 0.372, 0.327], [0.750, 0.441, 0.850], [0.960, 0.872, 0.173], [0.908, 0.863, 0.439], [0.908, 0.637, 0.939], [0.407, 0.427, 0.268], [0.092, 0.137, 0.561], [0.553, 0.294, 0.303], [0.250, 0.089, 0.332], [0.540, 0.872, 0.173], [0.750, 0.598, 0.272], [0.063, 0.849, 0.527], [0.553, 0.206, 0.803], [0.750, 0.902, 0.772], [0.937, 0.151, 0.473], [0.250, 0.098, 0.228], [0.956, 0.706, 0.992]],
  "final_energy_ev_per_atom": -5.3083,
  "dos_ef_per_ev_cell": 0.000,
  "spacegroup": "Pnma, No. 62"
}


{
  "formula": "H8PdN2Cl6",
  "functional": "GGA-PBEsol",
  "state": "optimized geometry",
  "cell": [[-4.674, -3.432, 3.572], [-1.796, -3.415, -5.632], [6.830, -7.121, 2.094]],
  "species": ["Cl", "Cl", "H", "H", "Cl", "Cl", "H", "H", "Cl", "H", "H", "Cl", "H", "Pd", "Cl", "N", "Cl", "Cl", "N", "H", "H", "H", "Cl", "N", "H", "H", "N", "H", "H", "Cl", "Cl", "H", "H", "Pd"],
  "fractional_positions": [[0.287, 0.237, 0.505], [0.736, 0.787, 0.013], [0.650, 0.020, 0.752], [0.433, 0.059, 0.832], [0.764, 0.287, 0.513], [0.486, 0.517, 0.729], [0.559, 0.935, 0.336], [0.150, 0.480, 0.748], [0.264, 0.213, 0.987], [0.027, 0.348, 0.245], [0.527, 0.152, 0.255], [0.014, 0.017, 0.229], [0.973, 0.652, 0.755], [0.500, 0.500, 0.500], [0.236, 0.713, 0.487], [0.001, 0.498, 0.248], [0.514, 0.483, 0.271], [0.213, 0.737, 0.005], [0.499, 0.998, 0.748], [0.059, 0.565, 0.164], [0.350, 0.980, 0.248], [0.567, 0.941, 0.168], [0.787, 0.263, 0.995], [0.999, 0.502, 0.752], [0.067, 0.559, 0.332], [0.473, 0.848, 0.745], [0.501, 0.002, 0.252], [0.441, 0.065, 0.664], [0.850, 0.520, 0.252], [0.986, 0.983, 0.771], [0.713, 0.763, 0.495], [0.933, 0.441, 0.668], [0.941, 0.435, 0.836], [0.000, 0.000, 0.000]],
  "final_energy_ev_per_atom": -4.2367,
  "spacegroup": "P2_1/c, No. 14",
  "de_polymorph_kj_per_mol_atoms": 0.00
}


{
  "formula": "H8PdN2Cl6",
  "functional": "GGA-PBEsol",
  "state": "optimized geometry",
  "cell": [[-6.305, -2.433, 0.990], [-2.809, -4.183, -4.611], [-0.918, -6.602, 1.490]],
  "species": ["Cl", "Pd", "H", "H", "Cl", "N", "H", "H", "Cl", "Cl", "H", "Cl", "H", "N", "H", "H", "Cl"],
  "fractional_positions": [[0.240, 0.760, 0.760], [0.000, 0.000, 0.000], [0.936, 0.688, 0.688], [0.312, 0.312, 0.064], [0.760, 0.760, 0.240], [0.250, 0.250, 0.250], [0.312, 0.064, 0.312], [0.312, 0.312, 0.312], [0.240, 0.240, 0.760], [0.760, 0.240, 0.240], [0.688, 0.936, 0.688], [0.760, 0.240, 0.760], [0.688, 0.688, 0.936], [0.750, 0.750, 0.750], [0.064, 0.312, 0.312], [0.688, 0.688, 0.688], [0.240, 0.760, 0.240]],
  "final_energy_ev_per_atom": -4.2257,
  "spacegroup": "Fm-3m, No. 225",
  "de_polymorph_kj_per_mol_atoms": 1.06
}